No. 1
LiLuPd4: optimized geometry, PBE.

abc: 5.306 5.306 5.306
angles: 60.00 60.00 60.00
Element x y z (fractional)
Li 0.000 0.000 0.000
Lu 0.750 0.750 0.750
Pd 0.375 0.375 0.375
Pd 0.375 0.375 0.875
Pd 0.375 0.875 0.375
Pd 0.875 0.375 0.375

Electronic total energy   -5.13 eV/atom
Spin magnetization   0.000 μB/f.u.

=====

No. 2
Li2LuPd: optimized geometry, PBE.

abc: 10.189 10.189 10.189
angles: 17.19 17.19 17.19
Element x y z (fractional)
Li 0.102 0.102 0.102
Li 0.898 0.898 0.898
Lu 0.000 0.000 0.000
Pd 0.500 0.500 0.500

Electronic total energy   -3.35 eV/atom
Spin magnetization   0.000 μB/f.u.

=====

No. 3
LiLuPd: optimized geometry, PBE.

abc: 4.315 4.315 3.537
angles: 90.00 90.00 120.00
Element x y z (fractional)
Li 0.000 0.000 0.000
Lu 0.667 0.333 0.500
Pd 0.333 0.667 0.000

Electronic total energy   -4.37 eV/atom
Spin magnetization   0.000 μB/f.u.

=====

No. 4
LiLu2Pd: optimized geometry, PBE.

abc: 10.334 10.334 10.334
angles: 19.79 19.79 19.79
Element x y z (fractional)
Li 0.000 0.000 0.000
Lu 0.105 0.105 0.105
Lu 0.895 0.895 0.895
Pd 0.500 0.500 0.500

Electronic total energy   -4.17 eV/atom
Spin magnetization   0.000 μB/f.u.

=====

No. 5
LiPmLuPd: optimized geometry, PBE.

abc: 5.044 5.044 5.044
angles: 60.00 60.00 60.00
Element x y z (fractional)
Li 0.000 0.000 0.000
Pm 0.750 0.750 0.750
Lu 0.250 0.250 0.250
Pd 0.500 0.500 0.500

Electronic total energy   -4.49 eV/atom
Spin magnetization   0.000 μB/f.u.

=====

No. 6
LiPrLuPd: optimized geometry, PBE.

abc: 5.085 5.085 5.085
angles: 60.00 60.00 60.00
Element x y z (fractional)
Li 0.000 0.000 0.000
Pr 0.750 0.750 0.750
Lu 0.250 0.250 0.250
Pd 0.500 0.500 0.500

Electronic total energy   -4.47 eV/atom
Spin magnetization   0.000 μB/f.u.

=====

No. 7
LiLuPdPt: optimized geometry, PBE.

abc: 4.606 4.606 4.606
angles: 60.00 60.00 60.00
Element x y z (fractional)
Li 0.000 0.000 0.000
Lu 0.500 0.500 0.500
Pd 0.250 0.250 0.250
Pt 0.750 0.750 0.750

Electronic total energy   -5.32 eV/atom
Spin magnetization   0.000 μB/f.u.

=====

No. 8
LiLuSbPd: optimized geometry, PBE.

abc: 4.854 4.854 4.854
angles: 60.00 60.00 60.00
Element x y z (fractional)
Li 0.000 0.000 0.000
Lu 0.500 0.500 0.500
Sb 0.250 0.250 0.250
Pd 0.750 0.750 0.750

Electronic total energy   -4.64 eV/atom
Spin magnetization   0.001 μB/f.u.

=====

spin magnetization of number 5 (LiPmLuPd)?
0.000 μB/f.u.